1.
## Ba6NaSr2Ir (PBE)

Data for a geometry-optimized Ba6NaSr2Ir structure.

Computed properties:
DFT formation energy in meV per atom: -15

a = 9.3709 Å, b = 9.3709 Å, c = 23.0109 Å
α = 90.00°, β = 90.00°, γ = 120.00°
Last column: nearest neighbours and their distance in Å.
Space group R-3m (No. 166, hexagonal axes)
One atom of each set of equivalent atoms:
1 Ba 0.0262 0.5131 0.2432 x18  1 Ir 3.05
2 Na 0.0000 0.0000 0.0000 x3  6 Ba 3.58
3 Sr 0.0000 0.0000 0.2506 x6  12 Ba 4.69-4.71
4 Ir 0.0000 0.0000 0.5000 x3  6 Ba 3.05

---

2.
## Ba2NaSrIr (PBE)

Data for a geometry-optimized Ba2NaSrIr structure.

Computed properties:
DFT formation energy in meV per atom: -109

a = 6.1929 Å, b = 6.1929 Å, c = 5.9997 Å
α = 90.00°, β = 90.00°, γ = 90.00°
Last column: nearest neighbours and their distance in Å.
Space group P4/mmm (No. 123)
One atom of each set of equivalent atoms:
1 Ba 0.0000 0.5000 0.0000 x2  2 Ir 3.10
2 Na 0.0000 0.0000 0.5000 x1  8 Ba 4.31, 4 Sr 4.38
3 Sr 0.5000 0.5000 0.5000 x1  2 Ir 3.00
4 Ir 0.5000 0.5000 0.0000 x1  2 Sr 3.00, 4 Ba 3.10